The following is a GGA+U calculation of a relaxed MnCoF4 crystal, from Alexandria.

Unit cell a=4.856 b=5.865 c=5.859 alpha=111.95 beta=90.00 gamma=90.00
Atoms (fractional coordinates):
F  0.203  0.341  0.144
F  0.297  0.841  0.144
F  0.682  0.643  0.343
Mn  0.500  0.000  0.500
F  0.818  0.143  0.343
F  0.797  0.659  0.856
Co  0.000  0.000  0.000
Co  0.500  0.500  0.000
F  0.318  0.357  0.657
F  0.703  0.159  0.856
F  0.182  0.857  0.657
Mn  0.000  0.500  0.500

Calculated values
D(E_F)   0.0 states/eV/f.u.
ΔE to the lowest computed polymorph   0 meV/atom
M_tot   8.000 μB/f.u.